(1)
Below is MgTlBPt after structural relaxation, with properties calculated at the PBE-GGA level.

Cell: 4.598 4.598 4.598 Å, 60.00 60.00 60.00°
Element x y z (fractional)
Mg 0.000 0.000 0.000
Tl 0.500 0.500 0.500
B 0.750 0.750 0.750
Pt 0.250 0.250 0.250

Calculated values
calculated total energy	-3.579	eV per atom
crystal system	cubic
distance to the lowest polymorph of the same formula	0	kJ/mol of formula units

(2)
Below is YMgBPt after structural relaxation, with properties calculated at the PBE-GGA level.

Cell: 4.608 4.608 4.608 Å, 60.00 60.00 60.00°
Element x y z (fractional)
Y 0.000 0.000 0.000
Mg 0.500 0.500 0.500
B 0.250 0.250 0.250
Pt 0.750 0.750 0.750

Calculated values
calculated total energy	-5.383	eV per atom
crystal system	cubic
distance to the lowest polymorph of the same formula	0	kJ/mol of formula units

(3)
Below is YMgBPt after structural relaxation, with properties calculated at the PBE-GGA level.

Cell: 4.518 4.518 4.518 Å, 60.00 60.00 60.00°
Element x y z (fractional)
Y 0.000 0.000 0.000
Mg 0.250 0.250 0.250
B 0.500 0.500 0.500
Pt 0.750 0.750 0.750

Calculated values
calculated total energy	-5.096	eV per atom
crystal system	cubic
distance to the lowest polymorph of the same formula	111	kJ/mol of formula units

(4)
Below is PuMgB after structural relaxation, with properties calculated at the PBE-GGA level.

Cell: 4.283 4.283 4.283 Å, 60.00 60.00 60.00°
Element x y z (fractional)
Pu 0.000 0.000 0.000
Mg 0.500 0.500 0.500
B 0.750 0.750 0.750

Calculated values
calculated total energy	-7.267	eV per atom
crystal system	cubic
distance to the lowest polymorph of the same formula	0	kJ/mol of formula units

(5)
Below is Mg3ReB7 after structural relaxation, with properties calculated at the PBE-GGA level.

Cell: 15.638 15.638 5.562 Å, 90.00 90.00 168.66°
Element x y z (fractional)
Mg 0.050 0.950 0.248
Mg 0.050 0.950 0.752
Mg 0.216 0.784 0.500
Mg 0.784 0.216 0.500
Mg 0.950 0.050 0.248
Mg 0.950 0.050 0.752
Re 0.131 0.869 0.500
Re 0.869 0.131 0.500
B 0.161 0.839 0.150
B 0.161 0.839 0.850
B 0.266 0.734 0.171
B 0.266 0.734 0.829
B 0.325 0.675 0.275
B 0.325 0.675 0.725
B 0.416 0.584 0.500
B 0.584 0.416 0.500
B 0.675 0.325 0.275
B 0.675 0.325 0.725
B 0.734 0.266 0.171
B 0.734 0.266 0.829
B 0.839 0.161 0.150
B 0.839 0.161 0.850

Calculated values
calculated total energy	-5.383	eV per atom
crystal system	orthorhombic

(6)
Below is MgReB after structural relaxation, with properties calculated at the PBE-GGA level.

Cell: 3.802 3.802 3.802 Å, 60.00 60.00 60.00°
Element x y z (fractional)
Mg 0.000 0.000 0.000
Re 0.500 0.500 0.500
B 0.250 0.250 0.250

Calculated values
calculated total energy	-6.385	eV per atom
crystal system	cubic
distance to the lowest polymorph of the same formula	0	kJ/mol of formula units

(7)
Below is MgReB4 after structural relaxation, with properties calculated at the PBE-GGA level.

Cell: 4.486 4.486 4.486 Å, 140.88 108.76 84.40°
Element x y z (fractional)
Mg 0.000 0.000 0.000
Re 0.500 0.500 0.000
B 0.083 0.745 0.339
B 0.406 0.745 0.661
B 0.594 0.255 0.339
B 0.917 0.255 0.661

Calculated values
calculated total energy	-6.945	eV per atom
crystal system	orthorhombic
distance to the lowest polymorph of the same formula	7	kJ/mol of formula units

(8)
Below is MgRe2B2 after structural relaxation, with properties calculated at the PBE-GGA level.

Cell: 5.341 5.341 5.341 Å, 140.12 140.12 57.67°
Element x y z (fractional)
Mg 0.000 0.000 0.000
Re 0.250 0.750 0.500
Re 0.750 0.250 0.500
B 0.405 0.405 0.000
B 0.595 0.595 0.000

Calculated values
calculated total energy	-7.904	eV per atom
crystal system	tetragonal